Density functional theory data (GGA-PBE) for a relaxed structure of LiHgSeI.

Geometry as POSCAR:
```
LiHgSeI
1.0
2.235 1.291 7.341
-2.235 1.291 7.341
0.000 -2.581 7.341
Li Hg Se I
1 1 1 1
Direct
0.000 0.000 0.000
0.482 0.482 0.482
0.117 0.117 0.117
0.623 0.623 0.623
```

Properties
DOS(E_F): 0.18 states/eV/f.u.
Raw formation energy: -265 kJ/mol of formula units
Volume: 31.77 A^3/atom

---

Density functional theory data (GGA-PBE) for a relaxed structure of OsPtSe2.

Geometry as POSCAR:
```
OsPtSe2
1.0
-1.937 1.937 4.406
1.937 -1.937 4.406
1.937 1.937 -4.406
Os Pt Se
1 1 2
Direct
0.000 0.000 0.000
0.250 0.750 0.500
0.500 0.500 0.000
0.750 0.250 0.500
```

Properties
Offset from the most stable computed form: 0.590 eV/atom
DOS(E_F): 3.63 states/eV/f.u.
Raw formation energy: 292 kJ/mol of formula units
Volume: 16.53 A^3/atom

---

Q: Look up the DOS(E_F) of the second one.
A: 3.63 states/eV/f.u.